CeSc2Au: relaxed, GGA-PBE.

a = 4.9485 Å, b = 4.9485 Å, c = 4.9485 Å
α = 60.00°, β = 60.00°, γ = 60.00°
Fractional coordinates of all 4 atoms:
Ce (0.0000, 0.0000, 0.0000)
Sc (0.2500, 0.2500, 0.2500)
Sc (0.7500, 0.7500, 0.7500)
Au (0.5000, 0.5000, 0.5000)

Results
**Distance to the lowest polymorph of the same formula**: 176 meV/atom
**Energy of formation**: -0.75 eV per formula unit
**SG**: No. 225
**N(E_F)**: 2.30 states/eV/atom